# 1
Zr2ScMn | meta-GGA SCAN | PBEsol geometry

Calculated values
E above lowest polymorph = 0.000 eV per formula unit
DFT total energy = -23.47 eV per atom
D(E_F) = 3.17 states/eV/f.u.
total magnetization = 0.000 μB per formula unit
symmetry = Immm
DFT formation energy = 0.0 eV per formula unit

abc: 5.559 5.559 5.559
angles: 145.87 127.19 64.39
Sites, in units of the cell vectors:
Zr (0.204, 0.204, 0.000)
Zr (0.796, 0.796, 0.000)
Sc (0.500, 0.000, 0.500)
Mn (0.000, 0.500, 0.500)

***

# 2
Mn4Se | meta-GGA SCAN | PBEsol geometry

Calculated values
DFT total energy = -18.15 eV per atom
formation energy (no corrections) = 0.469 eV/atom
D(E_F) = 5.82 states/eV/f.u.
total magnetization = 12.917 μB per formula unit
symmetry = Im-3m

abc: 4.644 4.644 4.644
angles: 109.47 109.47 109.47
Sites, in units of the cell vectors:
Mn (0.000, 0.000, 0.500)
Mn (0.000, 0.500, 0.000)
Mn (0.500, 0.000, 0.000)
Mn (0.500, 0.500, 0.500)
Se (0.000, 0.000, 0.000)

***

# 3
MnSe2 | meta-GGA SCAN | PBEsol geometry

Calculated values
DFT total energy = -19.54 eV per atom
formation energy (no corrections) = -0.071 eV/atom
D(E_F) = 1.73 states/eV/f.u.
total magnetization = 1.363 μB per formula unit
symmetry = I4/mmm

abc: 6.458 6.458 6.458
angles: 153.95 153.95 37.18
Sites, in units of the cell vectors:
Mn (0.000, 0.000, 0.000)
Se (0.380, 0.380, 0.000)
Se (0.620, 0.620, 0.000)

***

# 4
MnSe2 | meta-GGA SCAN | PBEsol geometry

Calculated values
DFT total energy = -20.15 eV per atom
formation energy (no corrections) = -0.676 eV/atom
D(E_F) = 0.95 states/eV/f.u.
total magnetization = 2.898 μB per formula unit
symmetry = Cmce

abc: 3.364 3.364 12.388
angles: 90.00 90.00 119.78
Sites, in units of the cell vectors:
Mn (0.000, 0.000, 0.000)
Mn (0.500, 0.500, 0.500)
Se (0.166, 0.834, 0.617)
Se (0.334, 0.666, 0.117)
Se (0.666, 0.334, 0.883)
Se (0.834, 0.166, 0.383)

***

# 5
MnSi3Se | meta-GGA SCAN | PBEsol geometry

Calculated values
DFT total energy = -12.40 eV per atom
formation energy (no corrections) = 1.273 eV/atom
D(E_F) = 3.30 states/eV/f.u.
total magnetization = 4.536 μB per formula unit
symmetry = Pm-3m

abc: 4.766 4.766 4.766
angles: 90.00 90.00 90.00
Sites, in units of the cell vectors:
Mn (0.000, 0.000, 0.000)
Si (0.000, 0.500, 0.500)
Si (0.500, 0.000, 0.500)
Si (0.500, 0.500, 0.000)
Se (0.500, 0.500, 0.500)

***

# 6
MnSiSe2 | meta-GGA SCAN | PBEsol geometry

Calculated values
DFT total energy = -17.12 eV per atom
formation energy (no corrections) = -0.016 eV/atom
D(E_F) = 1.79 states/eV/f.u.
total magnetization = 4.010 μB per formula unit
symmetry = R-3m

abc: 7.852 7.852 7.852
angles: 26.20 26.20 26.20
Sites, in units of the cell vectors:
Mn (0.000, 0.000, 0.000)
Si (0.500, 0.500, 0.500)
Se (0.104, 0.104, 0.104)
Se (0.896, 0.896, 0.896)

***

# 7
MnSiSe2 | meta-GGA SCAN | PBEsol geometry

Calculated values
DFT total energy = -17.11 eV per atom
formation energy (no corrections) = -0.005 eV/atom
D(E_F) = 1.10 states/eV/f.u.
total magnetization = 4.224 μB per formula unit
symmetry = Immm

abc: 5.119 5.119 5.119
angles: 139.44 103.06 90.81
Sites, in units of the cell vectors:
Mn (0.000, 0.000, 0.000)
Si (0.500, 0.500, 0.000)
Se (0.245, 0.745, 0.500)
Se (0.755, 0.255, 0.500)

***

# 8
MnSiSe2 | meta-GGA SCAN | PBEsol geometry

Calculated values
DFT total energy = -17.10 eV per atom
formation energy (no corrections) = 0.006 eV/atom
D(E_F) = 1.86 states/eV/f.u.
total magnetization = 4.435 μB per formula unit
symmetry = Pmmm

abc: 3.565 3.620 6.211
angles: 90.00 90.00 90.00
Sites, in units of the cell vectors:
Mn (0.000, 0.000, 0.000)
Si (0.000, 0.500, 0.500)
Se (0.500, 0.000, 0.500)
Se (0.500, 0.500, 0.000)

***

# 9
MnSiSe2 | meta-GGA SCAN | PBEsol geometry

Calculated values
DFT total energy = -17.11 eV per atom
formation energy (no corrections) = -0.003 eV/atom
D(E_F) = 1.41 states/eV/f.u.
total magnetization = 4.472 μB per formula unit
symmetry = C2/m

abc: 5.038 5.038 3.564
angles: 110.26 110.26 89.35
Sites, in units of the cell vectors:
Mn (0.000, 0.000, 0.000)
Si (0.500, 0.500, 0.000)
Se (0.000, 0.500, 0.500)
Se (0.500, 0.000, 0.500)

***

# 10
SrMnSe2 | meta-GGA SCAN | PBEsol geometry

Calculated values
E above lowest polymorph = 0.290 eV per formula unit
DFT total energy = -21.62 eV per atom
formation energy (no corrections) = -1.449 eV/atom
total magnetization = 5.000 μB per formula unit
symmetry = P4mm

abc: 4.108 4.108 6.096
angles: 90.00 90.00 90.00
Sites, in units of the cell vectors:
Sr (0.000, 0.000, 0.000)
Mn (0.500, 0.500, 0.537)
Se (0.000, 0.000, 0.493)
Se (0.500, 0.500, 0.949)

***

# 11
SrMnSe2 | meta-GGA SCAN | PBEsol geometry

Calculated values
E above lowest polymorph = 0.000 eV per formula unit
DFT total energy = -21.69 eV per atom
formation energy (no corrections) = -1.521 eV/atom
total magnetization = 5.000 μB per formula unit
symmetry = Amm2

abc: 4.439 6.376 6.376
angles: 36.21 90.00 90.00
Sites, in units of the cell vectors:
Sr (0.000, 0.000, 0.000)
Mn (0.500, 0.223, 0.223)
Se (0.000, 0.310, 0.310)
Se (0.500, 0.586, 0.586)

***

# 12
SrMnSe2 | meta-GGA SCAN | PBEsol geometry

Calculated values
E above lowest polymorph = 1.675 eV per formula unit
DFT total energy = -21.27 eV per atom
formation energy (no corrections) = -1.103 eV/atom
D(E_F) = 0.76 states/eV/f.u.
total magnetization = 4.983 μB per formula unit
symmetry = C2/m

abc: 4.998 4.998 3.597
angles: 90.20 90.20 89.99
Sites, in units of the cell vectors:
Sr (0.000, 0.000, 0.000)
Mn (0.500, 0.500, 0.000)
Se (0.000, 0.500, 0.500)
Se (0.500, 0.000, 0.500)

***

# 13
SrMnSe2 | meta-GGA SCAN | PBEsol geometry

Calculated values
E above lowest polymorph = 0.347 eV per formula unit
DFT total energy = -21.61 eV per atom
formation energy (no corrections) = -1.435 eV/atom
total magnetization = 5.000 μB per formula unit
symmetry = Cm

abc: 6.467 6.467 4.346
angles: 90.51 90.51 35.82
Sites, in units of the cell vectors:
Sr (0.000, 0.000, 0.000)
Mn (0.263, 0.263, 0.360)
Se (0.452, 0.452, 0.502)
Se (0.714, 0.714, 0.028)

***

# 14
Sr2MnZnSe | meta-GGA SCAN | PBEsol geometry

Calculated values
DFT total energy = -19.65 eV per atom
formation energy (no corrections) = -0.372 eV/atom
D(E_F) = 2.07 states/eV/f.u.
total magnetization = 3.710 μB per formula unit
symmetry = P4/mmm

abc: 5.779 5.779 4.559
angles: 90.00 90.00 90.00
Sites, in units of the cell vectors:
Sr (0.000, 0.500, 0.000)
Sr (0.500, 0.000, 0.000)
Mn (0.000, 0.000, 0.500)
Zn (0.000, 0.000, 0.000)
Se (0.500, 0.500, 0.500)

***

# 15
TaMnSe2 | meta-GGA SCAN | PBEsol geometry

Calculated values
E above lowest polymorph = 2.201 eV per formula unit
DFT total energy = -31.21 eV per atom
formation energy (no corrections) = 0.038 eV/atom
D(E_F) = 2.39 states/eV/f.u.
total magnetization = 4.184 μB per formula unit
symmetry = C2/m

abc: 5.073 5.073 3.124
angles: 107.18 107.18 98.79
Sites, in units of the cell vectors:
Ta (0.000, 0.000, 0.000)
Mn (0.500, 0.500, 0.000)
Se (0.000, 0.500, 0.500)
Se (0.500, 0.000, 0.500)

***

# 16
TaMn2Se | meta-GGA SCAN | PBEsol geometry

Calculated values
DFT total energy = -30.52 eV per atom
formation energy (no corrections) = 0.272 eV/atom
D(E_F) = 3.79 states/eV/f.u.
total magnetization = 0.002 μB per formula unit
symmetry = Pmmm

abc: 2.990 3.987 4.797
angles: 90.00 90.00 90.00
Sites, in units of the cell vectors:
Ta (0.000, 0.000, 0.000)
Mn (0.500, 0.500, 0.213)
Mn (0.500, 0.500, 0.787)
Se (0.500, 0.000, 0.500)

***

# 17
TaMnSe2 | meta-GGA SCAN | PBEsol geometry

Calculated values
E above lowest polymorph = 0.591 eV per formula unit
DFT total energy = -31.61 eV per atom
formation energy (no corrections) = -0.364 eV/atom
D(E_F) = 1.16 states/eV/f.u.
total magnetization = 4.133 μB per formula unit
symmetry = P4/mmm

abc: 3.195 3.195 6.343
angles: 90.00 90.00 90.00
Sites, in units of the cell vectors:
Ta (0.000, 0.000, 0.000)
Mn (0.000, 0.000, 0.500)
Se (0.500, 0.500, 0.242)
Se (0.500, 0.500, 0.758)

***

# 18
TaMnSe2 | meta-GGA SCAN | PBEsol geometry

Calculated values
E above lowest polymorph = 3.577 eV per formula unit
DFT total energy = -30.87 eV per atom
formation energy (no corrections) = 0.383 eV/atom
D(E_F) = 1.57 states/eV/f.u.
total magnetization = 2.250 μB per formula unit
symmetry = F-43m

abc: 4.531 4.531 4.531
angles: 60.00 60.00 60.00
Sites, in units of the cell vectors:
Ta (0.000, 0.000, 0.000)
Mn (0.750, 0.750, 0.750)
Se (0.250, 0.250, 0.250)
Se (0.500, 0.500, 0.500)

***

# 19
TaMnSe2 | meta-GGA SCAN | PBEsol geometry

Calculated values
E above lowest polymorph = 0.000 eV per formula unit
DFT total energy = -31.76 eV per atom
formation energy (no corrections) = -0.512 eV/atom
D(E_F) = 1.74 states/eV/f.u.
total magnetization = 1.666 μB per formula unit
symmetry = P-4m2

abc: 3.652 3.652 6.161
angles: 90.00 90.00 90.00
Sites, in units of the cell vectors:
Ta (0.000, 0.000, 0.000)
Mn (0.500, 0.500, 0.000)
Se (0.000, 0.500, 0.284)
Se (0.500, 0.000, 0.716)

***

# 20
TaMn2Se | meta-GGA SCAN | PBEsol geometry

Calculated values
DFT total energy = -30.77 eV per atom
formation energy (no corrections) = 0.020 eV/atom
D(E_F) = 1.92 states/eV/f.u.
total magnetization = 2.807 μB per formula unit
symmetry = R3m

abc: 7.395 7.395 7.395
angles: 24.82 24.82 24.82
Sites, in units of the cell vectors:
Ta (0.000, 0.000, 0.000)
Mn (0.487, 0.487, 0.487)
Mn (0.745, 0.745, 0.745)
Se (0.244, 0.244, 0.244)